DFT (PBE) results for an optimized crystal structure of BaBe2Ni.

Cell: 4.940 4.940 4.940 Å, 126.99 126.99 78.27°
Sites, in units of the cell vectors:
Be 0.500 0.500 0.000
Be 0.000 0.000 0.000
Ni 0.250 0.750 0.500
Ba 0.750 0.250 0.500

formation energy: 0.9049 eV/atom
final energy: -11.54 eV per cell
total moment: 0.00 μB per atom
V: 18.626 Å³ per atom


DFT (PBE) results for an optimized crystal structure of BaBe3Ni.

Cell: 4.389 4.389 4.389 Å, 90.00 90.00 90.00°
Sites, in units of the cell vectors:
Be 0.000 0.500 0.000
Be 0.000 0.000 0.500
Be 0.500 0.000 0.000
Ba 0.500 0.500 0.500
Ni 0.000 0.000 0.000

formation energy: 0.2695 eV/atom
final energy: -17.54 eV per cell
total moment: 0.00 μB per atom
V: 16.906 Å³ per atom


DFT (PBE) results for an optimized crystal structure of BaBeNi2.

Cell: 5.098 5.098 5.098 Å, 134.24 109.95 87.78°
Sites, in units of the cell vectors:
Be 0.867 0.367 0.500
Ni 0.973 0.973 0.000
Ni 0.152 0.652 0.500
Ba 0.508 0.508 0.000

formation energy: 0.4016 eV/atom
final energy: -15.61 eV per cell
total moment: 0.00 μB per atom
V: 21.314 Å³ per atom


DFT (PBE) results for an optimized crystal structure of BaBeNi.

Cell: 4.742 4.742 4.742 Å, 60.00 60.00 60.00°
Sites, in units of the cell vectors:
Ni 0.750 0.750 0.750
Be 0.500 0.500 0.500
Ba 0.000 0.000 0.000

formation energy: 0.6830 eV/atom
final energy: -9.38 eV per cell
total moment: 0.00 μB per atom
V: 25.141 Å³ per atom


DFT (PBE) results for an optimized crystal structure of BaBe2Ni.

Cell: 5.231 5.231 5.231 Å, 138.67 108.88 85.73°
Sites, in units of the cell vectors:
Be 0.112 0.112 0.000
Be 0.388 0.388 0.000
Ba 0.750 0.250 0.500
Ni 0.250 0.750 0.500

formation energy: 0.4711 eV/atom
final energy: -13.27 eV per cell
total moment: 0.00 μB per atom
V: 21.531 Å³ per atom


DFT (PBE) results for an optimized crystal structure of BaBe2Ni.

Cell: 4.936 4.936 7.712 Å, 71.33 71.33 90.00°
Sites, in units of the cell vectors:
Ni 0.250 0.750 0.500
Ni 0.500 0.500 0.000
Be 0.375 0.625 0.250
Be 0.375 0.625 0.750
Be 0.875 0.625 0.750
Be 0.375 0.125 0.250
Ba 0.750 0.250 0.500
Ba 0.000 0.000 0.000

formation energy: 0.2450 eV/atom
final energy: -28.35 eV per cell
total moment: 0.00 μB per atom
V: 20.946 Å³ per atom


DFT (PBE) results for an optimized crystal structure of BaBeNi2.

Cell: 3.075 3.077 7.013 Å, 90.00 90.00 90.00°
Sites, in units of the cell vectors:
Be 0.500 0.500 0.750
Ni 0.000 0.000 0.587
Ni 0.000 0.000 0.913
Ba 0.500 0.500 0.250

formation energy: 0.3472 eV/atom
final energy: -15.82 eV per cell
total moment: 0.00 μB per atom
V: 16.585 Å³ per atom


DFT (PBE) results for an optimized crystal structure of BaBeNi2.

Cell: 4.001 4.001 6.023 Å, 70.66 70.66 60.00°
Sites, in units of the cell vectors:
Ni 0.316 0.316 0.052
Ni 0.009 0.009 0.975
Ba 0.496 0.496 0.509
Be 0.679 0.679 0.964

formation energy: -0.0267 eV/atom
final energy: -17.32 eV per cell
total moment: 0.00 μB per atom
V: 19.294 Å³ per atom